# 1
# ScTcNF2

ScTcNF2 after structural relaxation (PBE-GGA, Alexandria).

Unit cell a=4.1893 b=4.1893 c=3.8550 alpha=90.00 beta=90.00 gamma=90.00
Fractional positions:
Sc: 0.5000 0.5000 0.5000
N: 0.0000 0.0000 0.5000
Tc: 0.0000 0.0000 0.0000
F: 0.0000 0.5000 0.0000
F: 0.5000 0.0000 0.0000

Properties
space group = P4/mmm, No. 123
uncorrected energy = -33.1 eV per formula unit
total moment = 0.76 μB/cell
Fermi-level density of states = 3.0 states/eV/cell
formation energy (no corrections) = -873 meV per atom
ΔE to the lowest computed polymorph = 0.248 eV per atom

---

# 2
# ScTcN2F

ScTcN2F after structural relaxation (PBE-GGA, Alexandria).

Unit cell a=3.9163 b=3.9163 c=3.9810 alpha=90.00 beta=90.00 gamma=90.00
Fractional positions:
Sc: 0.5000 0.5000 0.5000
N: 0.0000 0.5000 0.0000
N: 0.5000 0.0000 0.0000
Tc: 0.0000 0.0000 0.0000
F: 0.0000 0.0000 0.5000

Properties
space group = P4/mmm, No. 123
uncorrected energy = -37.9 eV per formula unit
total moment = 0.00 μB/cell
Fermi-level density of states = 3.1 states/eV/cell
formation energy (no corrections) = -536 meV per atom
ΔE to the lowest computed polymorph = 0.000 eV per atom

---

# 3
# ScTe2NF

ScTe2NF after structural relaxation (PBE-GGA, Alexandria).

Unit cell a=4.8434 b=4.8434 c=4.1767 alpha=90.00 beta=90.00 gamma=90.00
Fractional positions:
Sc: 0.5000 0.5000 0.5000
N: 0.0000 0.0000 0.5000
Te: 0.0000 0.5000 0.0000
Te: 0.5000 0.0000 0.0000
F: 0.0000 0.0000 0.0000

Properties
space group = P4/mmm, No. 123
uncorrected energy = -20.8 eV per formula unit
total moment = 1.06 μB/cell
Fermi-level density of states = 2.2 states/eV/cell
formation energy (no corrections) = 396 meV per atom
ΔE to the lowest computed polymorph = 0.309 eV per atom

---

# 4
# ScTeN2F

ScTeN2F after structural relaxation (PBE-GGA, Alexandria).

Unit cell a=4.2213 b=4.2213 c=4.1692 alpha=90.00 beta=90.00 gamma=90.00
Fractional positions:
Sc: 0.5000 0.5000 0.5000
N: 0.0000 0.5000 0.0000
N: 0.5000 0.0000 0.0000
Te: 0.0000 0.0000 0.0000
F: 0.0000 0.0000 0.5000

Properties
space group = P4/mmm, No. 123
uncorrected energy = -27.2 eV per formula unit
total moment = 0.43 μB/cell
Fermi-level density of states = 2.4 states/eV/cell
formation energy (no corrections) = 155 meV per atom
ΔE to the lowest computed polymorph = 0.482 eV per atom

---

# 5
# ScTeN2F

ScTeN2F after structural relaxation (PBE-GGA, Alexandria).

Unit cell a=4.2696 b=4.2696 c=4.0733 alpha=90.00 beta=90.00 gamma=90.00
Fractional positions:
Sc: 0.5000 0.5000 0.5000
N: 0.0000 0.5000 0.0000
N: 0.5000 0.0000 0.0000
Te: 0.0000 0.0000 0.5000
F: 0.0000 0.0000 0.0000

Properties
space group = P4/mmm, No. 123
uncorrected energy = -22.8 eV per formula unit
total moment = 1.13 μB/cell
Fermi-level density of states = 2.6 states/eV/cell
formation energy (no corrections) = 1047 meV per atom
ΔE to the lowest computed polymorph = 1.374 eV per atom

---

# 6
# ScTeN2F

ScTeN2F after structural relaxation (PBE-GGA, Alexandria).

Unit cell a=4.3164 b=4.3164 c=3.8863 alpha=90.00 beta=90.00 gamma=90.00
Fractional positions:
Sc: 0.0000 0.0000 0.0000
N: 0.0000 0.5000 0.0000
N: 0.5000 0.0000 0.0000
Te: 0.5000 0.5000 0.5000
F: 0.0000 0.0000 0.5000

Properties
space group = P4/mmm, No. 123
uncorrected energy = -29.6 eV per formula unit
total moment = 0.00 μB/cell
Fermi-level density of states = 2.3 states/eV/cell
formation energy (no corrections) = -327 meV per atom
ΔE to the lowest computed polymorph = 0.000 eV per atom

---

# 7
# ScTeN2F

ScTeN2F after structural relaxation (PBE-GGA, Alexandria).

Unit cell a=4.0097 b=4.0097 c=5.9912 alpha=90.00 beta=90.00 gamma=90.00
Fractional positions:
Sc: 0.0000 0.0000 0.0000
N: 0.0000 0.5000 0.0000
N: 0.5000 0.0000 0.0000
Te: 0.0000 0.0000 0.5000
F: 0.5000 0.5000 0.5000

Properties
space group = P4/mmm, No. 123
uncorrected energy = -25.3 eV per formula unit
total moment = 0.89 μB/cell
Fermi-level density of states = 3.6 states/eV/cell
formation energy (no corrections) = 545 meV per atom
ΔE to the lowest computed polymorph = 0.871 eV per atom

---

# 8
# ScTe2NF

ScTe2NF after structural relaxation (PBE-GGA, Alexandria).

Unit cell a=5.5232 b=5.5232 c=4.0051 alpha=90.00 beta=90.00 gamma=90.00
Fractional positions:
Sc: 0.0000 0.0000 0.0000
N: 0.0000 0.0000 0.5000
Te: 0.0000 0.5000 0.0000
Te: 0.5000 0.0000 0.0000
F: 0.5000 0.5000 0.5000

Properties
space group = P4/mmm, No. 123
uncorrected energy = -22.4 eV per formula unit
total moment = 0.25 μB/cell
Fermi-level density of states = 4.8 states/eV/cell
formation energy (no corrections) = 87 meV per atom
ΔE to the lowest computed polymorph = 0.000 eV per atom

---

# 9
# ScTlN2F

ScTlN2F after structural relaxation (PBE-GGA, Alexandria).

Unit cell a=4.2900 b=4.2900 c=4.0580 alpha=90.00 beta=90.00 gamma=90.00
Fractional positions:
Sc: 0.0000 0.0000 0.0000
Tl: 0.5000 0.5000 0.5000
N: 0.0000 0.5000 0.0000
N: 0.5000 0.0000 0.0000
F: 0.0000 0.0000 0.5000

Properties
space group = P4/mmm, No. 123
uncorrected energy = -29.4 eV per formula unit
total moment = 0.77 μB/cell
Fermi-level density of states = 3.0 states/eV/cell
formation energy (no corrections) = -442 meV per atom
ΔE to the lowest computed polymorph = 0.000 eV per atom

---

# 10
# ScTlN2F

ScTlN2F after structural relaxation (PBE-GGA, Alexandria).

Unit cell a=4.2561 b=4.2561 c=4.3044 alpha=90.00 beta=90.00 gamma=90.00
Fractional positions:
Sc: 0.5000 0.5000 0.5000
Tl: 0.0000 0.0000 0.0000
N: 0.0000 0.5000 0.0000
N: 0.5000 0.0000 0.0000
F: 0.0000 0.0000 0.5000

Properties
space group = P4/mmm, No. 123
uncorrected energy = -25.2 eV per formula unit
total moment = 0.38 μB/cell
Fermi-level density of states = 2.1 states/eV/cell
formation energy (no corrections) = 409 meV per atom
ΔE to the lowest computed polymorph = 0.851 eV per atom

---

Copy entry 1 word for word.
# ScTcNF2

ScTcNF2 after structural relaxation (PBE-GGA, Alexandria).

Unit cell a=4.1893 b=4.1893 c=3.8550 alpha=90.00 beta=90.00 gamma=90.00
Fractional positions:
Sc: 0.5000 0.5000 0.5000
N: 0.0000 0.0000 0.5000
Tc: 0.0000 0.0000 0.0000
F: 0.0000 0.5000 0.0000
F: 0.5000 0.0000 0.0000

Properties
space group = P4/mmm, No. 123
uncorrected energy = -33.1 eV per formula unit
total moment = 0.76 μB/cell
Fermi-level density of states = 3.0 states/eV/cell
formation energy (no corrections) = -873 meV per atom
ΔE to the lowest computed polymorph = 0.248 eV per atom